{"formula": "Nb2SnHg", "functional": "PBE", "state": "relaxed", "sg": "F-43m (216)", "energy_ev_per_cell": -90.56, "magmom_total_mub_per_atom": 0.00, "cell": [[6.855, 0.000, 0.000], [0.000, 6.855, 0.000], [0.000, 0.000, 6.855]], "species": ["Nb", "Nb", "Nb", "Nb", "Nb", "Nb", "Nb", "Nb", "Sn", "Sn", "Sn", "Sn", "Hg", "Hg", "Hg", "Hg"], "fractional_positions": [[0.000, 0.000, 0.000], [0.000, 0.500, 0.500], [0.250, 0.250, 0.250], [0.250, 0.750, 0.750], [0.500, 0.000, 0.500], [0.500, 0.500, 0.000], [0.750, 0.250, 0.750], [0.750, 0.750, 0.250], [0.000, 0.000, 0.500], [0.000, 0.500, 0.000], [0.500, 0.000, 0.000], [0.500, 0.500, 0.500], [0.250, 0.250, 0.750], [0.250, 0.750, 0.250], [0.750, 0.250, 0.250], [0.750, 0.750, 0.750]]}